The following is a PBE calculation of an optimized crystal structure of Y3Zn8Ru3, from Alexandria.

Results
Magnetization, μB/f.u.: 0.00
Energy relative to the elements, meV/atom: -298.5
DOS at the Fermi energy, states/eV per cell: 14.03

The structure in CIF format:
```
data_Y3Zn8Ru3
_symmetry_space_group_name_H-M 'I m m m'
_symmetry_Int_Tables_number 71
_symmetry_space_group_name_Hall '-I 2 2'
_cell_length_a 4.290
_cell_length_b 9.134
_cell_length_c 12.643
_cell_angle_alpha 90.00
_cell_angle_beta 90.00
_cell_angle_gamma 90.00
loop_
_atom_site_label
_atom_site_fract_x
_atom_site_fract_y
_atom_site_fract_z
Y1 0.000 0.000 0.000
Y2 0.000 0.000 0.304
Zn1 0.000 0.281 0.130
Zn2 0.000 0.360 0.345
Ru1 0.000 0.174 0.500
Ru2 0.000 0.500 0.000
```

=====

The following is a PBE calculation of an optimized crystal structure of YZn2Ir, from Alexandria.

Results
Magnetization, μB/f.u.: 0.22
Energy relative to the elements, meV/atom: -270.6
DOS at the Fermi energy, states/eV per cell: 2.05

The structure in CIF format:
```
data_YZn2Ir
_symmetry_space_group_name_H-M 'P m m m'
_symmetry_Int_Tables_number 47
_cell_length_a 3.041
_cell_length_b 3.853
_cell_length_c 6.019
_cell_angle_alpha 90.00
_cell_angle_beta 90.00
_cell_angle_gamma 90.00
loop_
_symmetry_equiv_pos_as_xyz
'x,y,z'
'-x,-y,-z'
'-x,-y,z'
'x,y,-z'
'x,-y,-z'
'-x,y,z'
'-x,y,-z'
'x,-y,z'
loop_
_atom_site_label
_atom_site_fract_x
_atom_site_fract_y
_atom_site_fract_z
Y1 0.000 0.000 0.000
Zn1 0.500 0.500 0.297
Ir1 0.000 0.000 0.500
```

=====

> What is the formula in the first record?

Y3Zn8Ru3

=====

Repeat the first record exactly.
The following is a PBE calculation of an optimized crystal structure of Y3Zn8Ru3, from Alexandria.

Results
Magnetization, μB/f.u.: 0.00
Energy relative to the elements, meV/atom: -298.5
DOS at the Fermi energy, states/eV per cell: 14.03

The structure in CIF format:
```
data_Y3Zn8Ru3
_symmetry_space_group_name_H-M 'I m m m'
_symmetry_Int_Tables_number 71
_symmetry_space_group_name_Hall '-I 2 2'
_cell_length_a 4.290
_cell_length_b 9.134
_cell_length_c 12.643
_cell_angle_alpha 90.00
_cell_angle_beta 90.00
_cell_angle_gamma 90.00
loop_
_atom_site_label
_atom_site_fract_x
_atom_site_fract_y
_atom_site_fract_z
Y1 0.000 0.000 0.000
Y2 0.000 0.000 0.304
Zn1 0.000 0.281 0.130
Zn2 0.000 0.360 0.345
Ru1 0.000 0.174 0.500
Ru2 0.000 0.500 0.000
```